Entry 1:
The following is a PBE calculation of a relaxed Pm2NdDy crystal, from Alexandria via LeMat-Bulk.

Structure (POSCAR):
```
Pm2NdDy
1.0
4.277 0.000 0.000
0.000 4.277 0.000
0.000 0.000 7.416
Pm Nd Dy
2 1 1
Cartesian
0.000 0.000 1.816
0.000 0.000 5.600
2.139 2.139 3.708
2.139 2.139 0.000
```

Results
total magnetic moment: 0.00 μB per formula unit
calculated total energy: -4.602 eV per atom
ΔH_f (0 K): 11 kJ/mol of atoms

Entry 2:
The following is a PBE calculation of a relaxed Th3Si2Ni9 crystal, from Alexandria via LeMat-Bulk.

Structure (POSCAR):
```
Th3Si2Ni9
1.0
-1.956 4.666 5.950
1.956 -4.666 5.950
1.956 4.666 -5.950
Th Si Ni
3 2 9
Cartesian
0.000 0.000 0.000
0.000 0.000 3.675
0.000 0.000 8.224
1.956 2.525 0.000
0.000 2.142 5.950
1.956 -1.319 2.052
1.956 -2.026 4.611
1.956 1.319 2.052
0.000 2.641 1.339
0.000 4.666 0.000
1.956 2.026 4.611
0.000 3.347 3.897
0.000 6.692 1.339
0.000 5.985 3.897
```

Results
uncorrected formation energy: -0.50 eV per atom
total magnetic moment: 0.00 μB per formula unit
calculated total energy: -6.578 eV per atom

Entry 3:
The following is a PBE calculation of a relaxed Tm2SnHg5 crystal, from Alexandria via LeMat-Bulk.

Structure (POSCAR):
```
Tm2SnHg5
1.0
6.563 0.000 0.000
0.000 13.124 0.000
0.000 0.000 4.456
Tm Sn Hg
4 2 10
Cartesian
1.511 1.579 0.000
1.770 8.141 0.000
4.793 4.983 0.000
5.052 11.545 0.000
0.000 0.000 2.228
3.282 6.562 2.228
0.000 6.562 2.228
0.168 9.831 2.228
1.519 4.855 0.000
1.763 11.417 0.000
3.113 3.269 2.228
3.282 0.000 2.228
3.450 9.855 2.228
4.800 1.708 0.000
5.044 8.270 0.000
6.395 3.293 2.228
```

Results
total magnetic moment: 0.00 μB per formula unit
calculated total energy: -2.133 eV per atom
ΔH_f (0 K): -31 kJ/mol of atoms